Entry from Alexandria via LeMat-Bulk: a PBEsol-optimized structure of KCu2MoO (SCAN).

a = 3.8077 Å, b = 4.7132 Å, c = 4.7132 Å
α = 90.00°, β = 90.00°, γ = 90.00°
Last column: nearest neighbours and their distance in Å.
Element x y z (fractional)
O 0.0000 0.0000 0.0000  2 Mo 1.90
Mo 0.5000 0.0000 0.0000  2 O 1.90
K 0.5000 0.5000 0.5000  8 Cu 3.03, 4 Mo 3.33
Cu 0.0000 0.0000 0.5000  2 O 2.36
Cu 0.0000 0.5000 0.0000  2 O 2.36

Computed properties:
Mass density: 5.46 g/cm³
ΔE_f (raw): 0.550 eV/atom
Size of the total moment: 2.1 Bohr magnetons per cell
Crystal system: tetragonal

Entry from Alexandria via LeMat-Bulk: a PBEsol-optimized structure of BaNiBr2 (SCAN).

a = 3.9312 Å, b = 3.9312 Å, c = 9.1020 Å
α = 77.53°, β = 77.53°, γ = 60.00°
Last column: nearest neighbours and their distance in Å.
Element x y z (fractional)
Ni 0.5000 0.5000 0.5000  6 Br 2.60
Ba 0.0000 0.0000 0.0000  2 Br 3.13
Br 0.8815 0.8815 0.3555  3 Ni 2.60
Br 0.1185 0.1185 0.6445  3 Ni 2.60

Computed properties:
Mass density: 5.01 g/cm³
ΔE_f (raw): -0.554 eV/atom
Size of the total moment: 1.3 Bohr magnetons per cell
Crystal system: trigonal

Entry from Alexandria via LeMat-Bulk: a PBEsol-optimized structure of Cs2TlCoSn (SCAN).

a = 5.4702 Å, b = 7.3804 Å, c = 7.3804 Å
α = 90.00°, β = 90.00°, γ = 90.00°
Last column: nearest neighbours and their distance in Å.
Element x y z (fractional)
Cs 0.0000 0.0000 0.5000  2 Sn 3.69
Cs 0.0000 0.5000 0.0000  2 Sn 3.69
Tl 0.5000 0.0000 0.0000  2 Sn 2.74
Co 0.5000 0.5000 0.5000  8 Cs 4.59
Sn 0.0000 0.0000 0.0000  2 Tl 2.74

Computed properties:
Mass density: 3.61 g/cm³
Formation energy: 596 meV per atom
Size of the total moment: 2.2 Bohr magnetons per cell
Crystal system: tetragonal

Entry from Alexandria via LeMat-Bulk: a PBEsol-optimized structure of Ca2Mn2O5 (SCAN).

a = 5.2990 Å, b = 5.4449 Å, c = 8.3756 Å
α = 108.97°, β = 108.44°, γ = 90.00°
Last column: nearest neighbours and their distance in Å.
Element x y z (fractional)
Ca 0.6014 0.0883 0.2160  6 O 2.29-2.56
Ca 0.3854 0.9117 0.7840  6 O 2.29-2.56
Ca 0.1014 0.6277 0.2160  6 O 2.29-2.56
Ca 0.8854 0.3723 0.7840  6 O 2.29-2.56
Mn 0.9876 0.0000 0.0000  6 O 1.91-1.99
Mn 0.4876 0.5000 0.0000  6 O 1.91-1.99
Mn 0.2781 0.3064 0.5000  4 O 1.88-1.98
Mn 0.7781 0.6936 0.5000  4 O 1.88-1.98
O 0.7278 0.7360 0.9764  2 Mn 1.91
O 0.7513 0.2640 0.0236  2 Mn 1.91
O 0.2278 0.7404 0.9764  2 Mn 1.91
O 0.2513 0.2596 0.0236  2 Mn 1.91
O 0.1098 0.0794 0.2636  2 Mn 1.88-1.99
O 0.8462 0.9206 0.7364  2 Mn 1.88-1.99
O 0.6098 0.6843 0.2636  2 Mn 1.88-1.99
O 0.3462 0.3157 0.7364  2 Mn 1.88-1.99
O 0.6481 0.3573 0.5000  2 Mn 1.96-1.98
O 0.1481 0.6427 0.5000  2 Mn 1.96-1.98

Computed properties:
Mass density: 4.16 g/cm³
ΔE_f (raw): -2.661 eV/atom
Size of the total moment: 16.0 Bohr magnetons per cell
Crystal system: orthorhombic

Entry from Alexandria via LeMat-Bulk: a PBEsol-optimized structure of ScWCl2 (SCAN).

a = 3.0479 Å, b = 3.0479 Å, c = 8.9114 Å
α = 80.15°, β = 80.15°, γ = 60.00°
Last column: nearest neighbours and their distance in Å.
Element x y z (fractional)
Sc 0.0000 0.0000 0.0000  2 Cl 2.56
W 0.5000 0.5000 0.5000  6 Cl 2.52
Cl 0.9022 0.9022 0.2935  3 W 2.52, 1 Sc 2.56
Cl 0.0978 0.0978 0.7065  3 W 2.52, 1 Sc 2.56

Computed properties:
Mass density: 7.08 g/cm³
ΔE_f (raw): 0.122 eV/atom
Size of the total moment: 0.0 Bohr magnetons per cell
Crystal system: trigonal

Entry from Alexandria via LeMat-Bulk: a PBEsol-optimized structure of LaZn2Pt (SCAN).

a = 4.4012 Å, b = 4.4012 Å, c = 5.5066 Å
α = 66.44°, β = 66.44°, γ = 60.00°
Last column: nearest neighbours and their distance in Å.
Element x y z (fractional)
Zn 0.0199 0.0199 0.9403  3 Pt 2.55, 3 Zn 2.69
Zn 0.2931 0.2931 0.1206  3 Zn 2.69, 3 Pt 2.74, 1 La 2.98
Pt 0.6969 0.6969 0.9094  6 Zn 2.55-2.74
La 0.4967 0.4967 0.5099  4 Pt 2.93-3.20, 4 Zn 2.98-3.17

Computed properties:
Mass density: 9.42 g/cm³
Formation energy: -769 meV per atom
Size of the total moment: 0.0 Bohr magnetons per cell
Crystal system: trigonal

Q: Which value of mass density does entry 4 give?
A: 4.16 g/cm³

Q: Number 6 is which compound?
A: LaZn2Pt